A plane-wave DFT calculation with PBE-GGA was carried out for Er3CuRh after structural relaxation.

It has space group P-1 (No. 2), with a = 5.6671 Å, b = 5.6736 Å, c = 8.3264 Å, α = 101.15°, β = 101.77° and γ = 114.44°. The distinct sites, in fractional coordinates, are Er at (0.0763, 0.2186, 0.2950), Er at (0.2785, 0.4299, 0.7089), Er at (0.3142, 0.8130, 0.1273), Cu at (0.3021, 0.8014, 0.4999) and Rh at (0.2490, 0.2492, 0.0000).

The value obtained for the formation energy is -0.463 eV/atom. The calculation puts the density of states at the Fermi level at 0.756 states/eV/atom.

---

A plane-wave DFT calculation with PBE-GGA was carried out for ErCu4Rh after structural relaxation.

It has space group F-43m (No. 216), with a = 7.0119 Å, b = 7.0119 Å, c = 7.0119 Å, α = 90.00°, β = 90.00° and γ = 90.00°. The distinct sites, in fractional coordinates, are Er at (0.0000, 0.0000, 0.0000), Cu at (0.1241, 0.1241, 0.6241) and Rh at (0.2500, 0.2500, 0.2500).

The value obtained for the formation energy is -0.299 eV/atom. The calculation puts the density of states at the Fermi level at 0.285 states/eV/atom.

---

A plane-wave DFT calculation with PBE-GGA was carried out for Er6CuRh5 after structural relaxation.

It has space group P2/m (No. 10), with a = 4.7970 Å, b = 6.8566 Å, c = 7.5885 Å, α = 90.00°, β = 108.32° and γ = 90.00°. The distinct sites, in fractional coordinates, are Er at (0.0000, 0.2476, 0.0000), Er at (0.3318, 0.2500, 0.6641), Cu at (0.5000, 0.5000, 0.0000), Rh at (0.1656, 0.5000, 0.3305), Rh at (0.1675, 0.0000, 0.3349) and Rh at (0.5000, 0.0000, 0.0000).

The value obtained for the formation energy is -0.827 eV/atom. The calculation puts the density of states at the Fermi level at 0.589 states/eV/atom.

---

A plane-wave DFT calculation with PBE-GGA was carried out for Er5CuRh4 after structural relaxation.

It has space group P4/mmm (No. 123), with a = 3.3913 Å, b = 3.3913 Å, c = 17.2108 Å, α = 90.00°, β = 90.00° and γ = 90.00°. The distinct sites, in fractional coordinates, are Er at (0.0000, 0.0000, 0.0000), Er at (0.0000, 0.0000, 0.1991), Er at (0.0000, 0.0000, 0.3971), Cu at (0.5000, 0.5000, 0.5000), Rh at (0.5000, 0.5000, 0.0993) and Rh at (0.5000, 0.5000, 0.2986).

The value obtained for the formation energy is -0.804 eV/atom. The calculation puts the density of states at the Fermi level at 0.716 states/eV/atom.

---

Number 3 is which compound?
Er6CuRh5

---

Repeat the third record exactly.
A plane-wave DFT calculation with PBE-GGA was carried out for Er6CuRh5 after structural relaxation.

It has space group P2/m (No. 10), with a = 4.7970 Å, b = 6.8566 Å, c = 7.5885 Å, α = 90.00°, β = 108.32° and γ = 90.00°. The distinct sites, in fractional coordinates, are Er at (0.0000, 0.2476, 0.0000), Er at (0.3318, 0.2500, 0.6641), Cu at (0.5000, 0.5000, 0.0000), Rh at (0.1656, 0.5000, 0.3305), Rh at (0.1675, 0.0000, 0.3349) and Rh at (0.5000, 0.0000, 0.0000).

The value obtained for the formation energy is -0.827 eV/atom. The calculation puts the density of states at the Fermi level at 0.589 states/eV/atom.